Record 1
# Ba2TlF8

An optimized crystal structure of Ba2TlF8 (GGA-PBE, Alexandria).

POSCAR file:
```
Ba2TlF8
1.0
-2.199 -2.533 -3.233
1.036 -4.698 2.976
-5.188 4.427 3.418
Tl F Ba
1 8 2
direct
0.417 0.000 0.000 Tl
0.025 0.760 0.000 F
0.628 0.366 0.245 F
0.025 0.240 0.000 F
0.382 0.120 0.755 F
0.221 0.215 0.430 F
0.628 0.880 0.245 F
0.791 0.785 0.570 F
0.382 0.634 0.755 F
0.173 0.672 0.343 Ba
0.829 0.328 0.657 Ba
```

energy: -4.680 eV/atom
space group: Imm2
DOS at the Fermi energy: 8.978 states/eV per cell
E_form (uncorrected): -2.7542 eV per atom

=====

Record 2
# Pu2PaAu

An optimized crystal structure of Pu2PaAu (GGA-PBE, Alexandria).

POSCAR file:
```
Pu2PaAu
1.0
-4.664 0.204 1.730
-1.537 -0.372 -4.101
-0.039 -4.376 0.411
Au Pu Pa
1 2 1
direct
0.500 0.000 0.000 Au
0.000 0.500 0.000 Pu
0.000 0.000 0.500 Pu
0.500 0.500 0.500 Pa
```

energy above the most stable polymorph in this dataset: 0.308 eV per formula unit
energy: -10.394 eV/atom
space group: P4/mmm
DOS at the Fermi energy: 10.139 states/eV per cell
energy of formation: -34 meV per atom

=====

Record 3
# La2PmPr6Sm3

An optimized crystal structure of La2PmPr6Sm3 (GGA-PBE, Alexandria).

POSCAR file:
```
La2PmPr6Sm3
1.0
6.410 -0.002 -0.002
-3.205 5.551 -0.002
-1.074 -1.860 12.052
Sm La Pr Pm
3 2 6 1
direct
0.834 0.166 0.500 Sm
0.166 0.834 0.500 Sm
0.500 0.500 0.500 Sm
0.333 0.667 0.000 La
0.667 0.333 0.000 La
0.583 0.915 0.747 Pr
0.915 0.583 0.747 Pr
0.085 0.417 0.253 Pr
0.417 0.085 0.253 Pr
0.752 0.752 0.253 Pr
0.248 0.248 0.747 Pr
0.000 0.000 0.000 Pm
```

energy: -4.772 eV/atom
space group: C2/m
DOS at the Fermi energy: 20.462 states/eV per cell
energy of formation: 15 meV per atom